No. 1
Compound: KMoRu2
Source: the Alexandria database
Functional: GGA-PBE
Structure: relaxed

Results
- Energy of formation from the pure elements: 0.895 eV per atom
- Calculated volume: 23.5 Å³ per atom
- ΔE to the lowest computed polymorph: 282 meV per atom
- E: -26.902 eV/cell
- SG: Cm, No. 8

a = 4.945 Å, b = 4.945 Å, c = 6.770 Å
α = 80.40°, β = 80.40°, γ = 35.18°
Fractional positions:
K: 0.494 0.494 0.520
Mo: 0.292 0.292 0.085
Ru: 0.004 0.004 0.048
Ru: 0.709 0.709 0.846

No. 2
Compound: KMoRu2
Source: the Alexandria database
Functional: GGA-PBE
Structure: relaxed

Results
- Energy of formation from the pure elements: 1.230 eV per atom
- Calculated volume: 20.8 Å³ per atom
- ΔE to the lowest computed polymorph: 617 meV per atom
- E: -51.119 eV/cell
- SG: I-42d, No. 122

a = 7.318 Å, b = 7.318 Å, c = 6.034 Å
α = 52.67°, β = 52.67°, γ = 90.00°
Fractional positions:
Ru: 0.689 0.125 0.250
Ru: 0.061 0.625 0.250
Ru: 0.375 0.311 0.750
Ru: 0.875 0.939 0.750
Mo: 0.000 0.000 0.000
Mo: 0.750 0.250 0.500
K: 0.500 0.500 0.000
K: 0.250 0.750 0.500

No. 3
Compound: KMoRu2
Source: the Alexandria database
Functional: GGA-PBE
Structure: relaxed

Results
- Energy of formation from the pure elements: 0.790 eV per atom
- Calculated volume: 17.7 Å³ per atom
- ΔE to the lowest computed polymorph: 177 meV per atom
- E: -27.319 eV/cell
- SG: R3m, No. 160

a = 10.506 Å, b = 10.506 Å, c = 10.506 Å
α = 15.36°, β = 15.36°, γ = 15.36°
Fractional positions:
K: 0.504 0.504 0.504
Mo: 0.734 0.734 0.734
Ru: 0.998 0.998 0.998
Ru: 0.264 0.264 0.264

No. 4
Compound: KMoRu3
Source: the Alexandria database
Functional: GGA-PBE
Structure: relaxed

Results
- Energy of formation from the pure elements: 1.442 eV per atom
- Calculated volume: 22.0 Å³ per atom
- ΔE to the lowest computed polymorph: 0 meV per atom
- E: -32.548 eV/cell
- SG: Pm-3m, No. 221

a = 4.794 Å, b = 4.794 Å, c = 4.794 Å
α = 90.00°, β = 90.00°, γ = 90.00°
Fractional positions:
Ru: 0.000 0.500 0.000
Ru: 0.000 0.000 0.500
Ru: 0.500 0.000 0.000
Mo: 0.000 0.000 0.000
K: 0.500 0.500 0.500

No. 5
Compound: KMoRu3
Source: the Alexandria database
Functional: GGA-PBE
Structure: relaxed

Results
- Energy of formation from the pure elements: 3.056 eV per atom
- Calculated volume: 17.8 Å³ per atom
- ΔE to the lowest computed polymorph: 1614 meV per atom
- E: -24.477 eV/cell
- SG: Pm-3m, No. 221

a = 4.463 Å, b = 4.463 Å, c = 4.463 Å
α = 90.00°, β = 90.00°, γ = 90.00°
Fractional positions:
Ru: 0.000 0.500 0.000
Ru: 0.000 0.000 0.500
Ru: 0.500 0.000 0.000
Mo: 0.500 0.500 0.500
K: 0.000 0.000 0.000

No. 6
Compound: K2MoRu
Source: the Alexandria database
Functional: GGA-PBE
Structure: relaxed

Results
- Energy of formation from the pure elements: 0.775 eV per atom
- Calculated volume: 32.1 Å³ per atom
- ΔE to the lowest computed polymorph: 44 meV per atom
- E: -19.203 eV/cell
- SG: C2/m, No. 12

a = 10.653 Å, b = 10.653 Å, c = 3.645 Å
α = 80.73°, β = 80.73°, γ = 18.33°
Fractional positions:
K: 0.898 0.898 0.113
K: 0.602 0.602 0.387
Mo: 0.750 0.750 0.750
Ru: 0.250 0.250 0.250

No. 7
Compound: K2MoRu
Source: the Alexandria database
Functional: GGA-PBE
Structure: relaxed

Results
- Energy of formation from the pure elements: 0.731 eV per atom
- Calculated volume: 29.1 Å³ per atom
- ΔE to the lowest computed polymorph: 0 meV per atom
- E: -19.378 eV/cell
- SG: P4mm, No. 99

a = 3.287 Å, b = 3.287 Å, c = 10.771 Å
α = 90.00°, β = 90.00°, γ = 90.00°
Fractional positions:
K: 0.000 0.000 0.919
K: 0.500 0.500 0.322
Mo: 0.000 0.000 0.581
Ru: 0.500 0.500 0.678

No. 8
Compound: KMoRu2
Source: the Alexandria database
Functional: GGA-PBE
Structure: relaxed

Results
- Energy of formation from the pure elements: 1.335 eV per atom
- Calculated volume: 17.0 Å³ per atom
- ΔE to the lowest computed polymorph: 722 meV per atom
- E: -25.141 eV/cell
- SG: P4/mmm, No. 123

a = 2.931 Å, b = 4.816 Å, c = 4.816 Å
α = 90.00°, β = 90.00°, γ = 90.00°
Fractional positions:
K: 0.500 0.500 0.000
Mo: 0.500 0.000 0.500
Ru: 0.000 0.000 0.000
Ru: 0.000 0.500 0.500

ΔE to the lowest computed polymorph of number 3 (KMoRu2)?
177 meV per atom

Which value of calculated volume does entry 5 give?
17.8 Å³ per atom

Copy entry 1 word for word.
Compound: KMoRu2
Source: the Alexandria database
Functional: GGA-PBE
Structure: relaxed

Results
- Energy of formation from the pure elements: 0.895 eV per atom
- Calculated volume: 23.5 Å³ per atom
- ΔE to the lowest computed polymorph: 282 meV per atom
- E: -26.902 eV/cell
- SG: Cm, No. 8

a = 4.945 Å, b = 4.945 Å, c = 6.770 Å
α = 80.40°, β = 80.40°, γ = 35.18°
Fractional positions:
K: 0.494 0.494 0.520
Mo: 0.292 0.292 0.085
Ru: 0.004 0.004 0.048
Ru: 0.709 0.709 0.846

Look up the ΔE to the lowest computed polymorph of the eighth one.
722 meV per atom